# 1
The following is a PBE calculation of a relaxed structure of Tb4Ge2SeS, from Alexandria.

Geometry as POSCAR:
```
Tb4Ge2SeS
1.0
7.107 0.000 0.000
0.000 4.108 0.000
-2.368 0.000 6.738
Tb Ge Se S
4 2 1 1
Direct
0.243 0.000 0.242
0.248 0.500 0.755
0.752 0.500 0.245
0.757 0.000 0.758
0.000 0.500 0.000
0.500 0.000 0.000
0.500 0.500 0.500
0.000 0.000 0.500
```

Properties
DFT total energy	-5.844	eV per atom
formation energy from raw total energies	-1.42	eV per atom

=====

# 2
The following is a PBE calculation of a relaxed structure of Th4GeSe2S, from Alexandria.

Geometry as POSCAR:
```
Th4GeSe2S
1.0
7.177 0.000 0.000
0.000 4.239 0.000
-2.495 0.000 6.876
Th Ge Se S
4 1 2 1
Direct
0.239 0.000 0.235
0.246 0.500 0.761
0.754 0.500 0.239
0.761 0.000 0.765
0.500 0.000 0.000
0.000 0.000 0.500
0.500 0.500 0.500
0.000 0.500 0.000
```

Properties
DFT total energy	-7.135	eV per atom
formation energy from raw total energies	-1.46	eV per atom

=====

# 3
The following is a PBE calculation of a relaxed structure of Th4Ge2SeS, from Alexandria.

Geometry as POSCAR:
```
Th4Ge2SeS
1.0
7.209 0.000 0.000
0.000 4.252 0.000
-2.513 0.000 6.963
Th Ge Se S
4 2 1 1
Direct
0.247 0.000 0.243
0.252 0.500 0.757
0.748 0.500 0.243
0.753 0.000 0.757
0.500 0.000 0.000
0.500 0.500 0.500
0.000 0.000 0.500
0.000 0.500 0.000
```

Properties
DFT total energy	-7.081	eV per atom
formation energy from raw total energies	-1.27	eV per atom

=====

# 4
The following is a PBE calculation of a relaxed structure of Th8GeSe4S3, from Alexandria.

Geometry as POSCAR:
```
Th8GeSe4S3
1.0
4.116 2.376 6.953
-4.116 2.376 6.953
0.000 -4.753 6.953
Th Ge Se S
8 1 4 3
Direct
0.238 0.749 0.749
0.244 0.244 0.244
0.251 0.251 0.762
0.251 0.762 0.251
0.749 0.238 0.749
0.749 0.749 0.238
0.756 0.756 0.756
0.762 0.251 0.251
0.500 0.500 0.500
0.000 0.000 0.000
0.000 0.500 0.500
0.500 0.000 0.500
0.500 0.500 0.000
0.000 0.000 0.500
0.000 0.500 0.000
0.500 0.000 0.000
```

Properties
DFT total energy	-7.219	eV per atom
formation energy from raw total energies	-1.58	eV per atom

=====

# 5
The following is a PBE calculation of a relaxed structure of Th4GeSeS2, from Alexandria.

Geometry as POSCAR:
```
Th4GeSeS2
1.0
-2.941 2.941 5.883
2.941 -2.941 5.883
2.941 2.941 -5.883
Th Ge Se S
4 1 1 2
Direct
0.000 0.500 0.500
0.249 0.249 0.000
0.500 0.000 0.500
0.751 0.751 0.000
0.000 0.000 0.000
0.500 0.500 0.000
0.250 0.750 0.500
0.750 0.250 0.500
```

Properties
DFT total energy	-7.261	eV per atom
formation energy from raw total energies	-1.51	eV per atom

=====

# 6
The following is a PBE calculation of a relaxed structure of Tl2Ge2SeS2, from Alexandria.

Geometry as POSCAR:
```
Tl2Ge2SeS2
1.0
6.283 -2.680 0.000
6.283 2.680 0.000
-3.535 0.000 5.942
Tl Ge Se S
2 2 1 2
Direct
0.052 0.052 0.298
0.948 0.948 0.702
0.263 0.263 0.854
0.737 0.737 0.146
0.500 0.500 0.000
0.265 0.265 0.193
0.735 0.735 0.807
```

Properties
DFT total energy	-3.910	eV per atom
formation energy from raw total energies	-0.24	eV per atom

=====

# 7
The following is a PBE calculation of a relaxed structure of Tm4GeSe2S, from Alexandria.

Geometry as POSCAR:
```
Tm4GeSe2S
1.0
6.891 0.000 0.000
0.000 4.003 0.000
-2.332 0.000 6.605
Tm Ge Se S
4 1 2 1
Direct
0.244 0.000 0.230
0.256 0.500 0.766
0.744 0.500 0.234
0.756 0.000 0.770
0.500 0.000 0.000
0.000 0.000 0.500
0.500 0.500 0.500
0.000 0.500 0.000
```

Properties
DFT total energy	-5.810	eV per atom
formation energy from raw total energies	-1.61	eV per atom

=====

# 8
The following is a PBE calculation of a relaxed structure of Tm8GeSe3S4, from Alexandria.

Geometry as POSCAR:
```
Tm8GeSe3S4
1.0
3.939 2.274 6.467
-3.939 2.274 6.467
0.000 -4.548 6.467
Tm Ge Se S
8 1 3 4
Direct
0.234 0.751 0.751
0.241 0.241 0.241
0.249 0.249 0.766
0.249 0.766 0.249
0.751 0.234 0.751
0.751 0.751 0.234
0.759 0.759 0.759
0.766 0.249 0.249
0.000 0.000 0.000
0.000 0.500 0.500
0.500 0.000 0.500
0.500 0.500 0.000
0.000 0.000 0.500
0.000 0.500 0.000
0.500 0.000 0.000
0.500 0.500 0.500
```

Properties
DFT total energy	-5.946	eV per atom
formation energy from raw total energies	-1.74	eV per atom

=====

# 9
The following is a PBE calculation of a relaxed structure of Tm4Ge2SeS, from Alexandria.

Geometry as POSCAR:
```
Tm4Ge2SeS
1.0
6.989 0.000 0.000
0.000 4.036 0.000
-2.325 0.000 6.612
Tm Ge Se S
4 2 1 1
Direct
0.242 0.000 0.240
0.249 0.500 0.757
0.751 0.500 0.243
0.758 0.000 0.760
0.000 0.500 0.000
0.500 0.000 0.000
0.500 0.500 0.500
0.000 0.000 0.500
```

Properties
DFT total energy	-5.715	eV per atom
formation energy from raw total energies	-1.37	eV per atom

=====

# 10
The following is a PBE calculation of a relaxed structure of Tm8GeSe4S3, from Alexandria.

Geometry as POSCAR:
```
Tm8GeSe4S3
1.0
3.943 2.276 6.576
-3.943 2.276 6.576
0.000 -4.553 6.576
Tm Ge Se S
8 1 4 3
Direct
0.240 0.744 0.744
0.241 0.241 0.241
0.256 0.256 0.760
0.256 0.760 0.256
0.744 0.240 0.744
0.744 0.744 0.240
0.759 0.759 0.759
0.760 0.256 0.256
0.500 0.500 0.500
0.000 0.000 0.000
0.000 0.500 0.500
0.500 0.000 0.500
0.500 0.500 0.000
0.000 0.000 0.500
0.000 0.500 0.000
0.500 0.000 0.000
```

Properties
DFT total energy	-5.884	eV per atom
formation energy from raw total energies	-1.71	eV per atom

=====

# 11
The following is a PBE calculation of a relaxed structure of Tm6Ge2SeS3, from Alexandria.

Geometry as POSCAR:
```
Tm6Ge2SeS3
1.0
8.631 -1.991 0.000
8.631 1.991 0.000
-1.734 0.000 7.750
Tm Ge Se S
6 2 1 3
Direct
0.003 0.003 0.263
0.330 0.330 0.910
0.333 0.333 0.418
0.667 0.667 0.582
0.670 0.670 0.090
0.997 0.997 0.737
0.166 0.166 0.332
0.834 0.834 0.668
0.500 0.500 0.000
0.164 0.164 0.835
0.500 0.500 0.500
0.836 0.836 0.165
```

Properties
DFT total energy	-5.911	eV per atom
formation energy from raw total energies	-1.58	eV per atom

=====

# 12
The following is a PBE calculation of a relaxed structure of Tm4GeSeS2, from Alexandria.

Geometry as POSCAR:
```
Tm4GeSeS2
1.0
6.828 0.000 0.000
0.000 3.965 0.000
-2.309 0.000 6.497
Tm Ge Se S
4 1 1 2
Direct
0.240 0.000 0.236
0.247 0.500 0.756
0.753 0.500 0.244
0.760 0.000 0.764
0.500 0.000 0.000
0.500 0.500 0.500
0.000 0.000 0.500
0.000 0.500 0.000
```

Properties
DFT total energy	-5.934	eV per atom
formation energy from raw total energies	-1.65	eV per atom

=====

Copy entry 3 word for word.
The following is a PBE calculation of a relaxed structure of Th4Ge2SeS, from Alexandria.

Geometry as POSCAR:
```
Th4Ge2SeS
1.0
7.209 0.000 0.000
0.000 4.252 0.000
-2.513 0.000 6.963
Th Ge Se S
4 2 1 1
Direct
0.247 0.000 0.243
0.252 0.500 0.757
0.748 0.500 0.243
0.753 0.000 0.757
0.500 0.000 0.000
0.500 0.500 0.500
0.000 0.000 0.500
0.000 0.500 0.000
```

Properties
DFT total energy	-7.081	eV per atom
formation energy from raw total energies	-1.27	eV per atom

=====

- Look up the formation energy from raw total energies of the seventh one.
  -1.61 eV per atom